Density functional theory data (PBE-GGA) for a geometry-optimized Ce2Pr3ThS6 structure.

Computed properties:
E_form (uncorrected): -192.7 kJ per mole of atoms
Magnetization: 3.43 μB/cell

Geometry as CIF:
```
data_Ce2Pr3ThS6
_chemical_formula_sum 'Ce4 Pr6 Th2 S12'
_cell_length_a 7.030
_cell_length_b 12.188
_cell_length_c 7.072
_cell_angle_alpha 90.00
_cell_angle_beta 109.39
_cell_angle_gamma 90.00
_space_group_name_H-M_alt 'C 1 2/m 1'
_space_group_IT_number 12
_space_group_name_Hall '-C 2y'
loop_
_atom_site_label
_atom_site_fract_x
_atom_site_fract_y
_atom_site_fract_z
Ce1 0.000 0.167 0.000
Pr1 0.000 0.000 0.500
Pr2 0.000 0.333 0.500
Th1 0.000 0.500 0.000
S1 0.248 0.000 0.244
S2 0.248 0.333 0.245
```

=====

Density functional theory data (PBE-GGA) for a geometry-optimized Ce3Pr2ThS6 structure.

Computed properties:
E_form (uncorrected): -193.3 kJ per mole of atoms
Magnetization: 4.17 μB/cell

Geometry as CIF:
```
data_Ce3Pr2ThS6
_chemical_formula_sum 'Ce6 Pr4 Th2 S12'
_cell_length_a 17.671
_cell_length_b 4.057
_cell_length_c 8.100
_cell_angle_alpha 90.00
_cell_angle_beta 103.24
_cell_angle_gamma 90.00
_space_group_name_H-M_alt 'C 1 2/m 1'
_space_group_IT_number 12
_space_group_name_Hall '-C 2y'
loop_
_atom_site_label
_atom_site_fract_x
_atom_site_fract_y
_atom_site_fract_z
Ce1 0.000 0.000 0.000
Ce2 0.167 0.500 0.334
Pr1 0.166 0.500 0.833
Th1 0.000 0.000 0.500
S1 0.002 0.500 0.250
S2 0.166 0.000 0.087
S3 0.167 0.000 0.580
```

=====

Density functional theory data (PBE-GGA) for a geometry-optimized Ce2PrTh3S6 structure.

Computed properties:
E_form (uncorrected): -187.4 kJ per mole of atoms
Magnetization: 1.45 μB/cell

Geometry as CIF:
```
data_Ce2PrTh3S6
_chemical_formula_sum 'Ce4 Pr2 Th6 S12'
_cell_length_a 6.994
_cell_length_b 12.104
_cell_length_c 7.021
_cell_angle_alpha 90.00
_cell_angle_beta 109.36
_cell_angle_gamma 90.00
_space_group_name_H-M_alt 'C 1 2/m 1'
_space_group_IT_number 12
_space_group_name_Hall '-C 2y'
loop_
_atom_site_label
_atom_site_fract_x
_atom_site_fract_y
_atom_site_fract_z
Ce1 0.000 0.167 0.000
Pr1 0.000 0.500 0.000
Th1 0.000 0.000 0.500
Th2 0.000 0.336 0.500
S1 0.245 0.000 0.247
S2 0.248 0.168 0.750
```

=====

Density functional theory data (PBE-GGA) for a geometry-optimized Ce2PrThS4 structure.

Computed properties:
E_form (uncorrected): -192.0 kJ per mole of atoms
Magnetization: 1.28 μB/cell

Geometry as CIF:
```
data_Ce2PrThS4
_chemical_formula_sum 'Ce2 Pr1 Th1 S4'
_cell_length_a 6.994
_cell_length_b 4.055
_cell_length_c 7.014
_cell_angle_alpha 90.00
_cell_angle_beta 109.57
_cell_angle_gamma 90.00
_space_group_name_H-M_alt 'P 1 2/m 1'
_space_group_IT_number 10
_space_group_name_Hall '-P 2y'
loop_
_atom_site_label
_atom_site_fract_x
_atom_site_fract_y
_atom_site_fract_z
Ce1 0.000 0.000 0.000
Ce2 0.000 0.500 0.500
Pr1 0.500 0.000 0.500
Th1 0.500 0.500 0.000
S1 0.246 0.500 0.247
S2 0.247 0.000 0.750
```

=====

Density functional theory data (PBE-GGA) for a geometry-optimized CePr3Th4S8 structure.

Computed properties:
E_form (uncorrected): -186.4 kJ per mole of atoms
Magnetization: 2.04 μB/cell

Geometry as CIF:
```
data_CePr3Th4S8
_chemical_formula_sum 'Ce3 Pr9 Th12 S24'
_cell_length_a 8.0801
_cell_length_b 8.0801
_cell_length_c 20.1081
_cell_angle_alpha 90.00
_cell_angle_beta 90.00
_cell_angle_gamma 120.00
_space_group_name_H-M_alt 'R -3 m'
_space_group_IT_number 166
_space_group_name_Hall '-R 3 2"'
loop_
_atom_site_label
_atom_site_fract_x
_atom_site_fract_y
_atom_site_fract_z
Ce1 0.0000 0.0000 0.0000
Pr1 0.0000 0.5000 0.0000
Th1 0.0000 0.0000 0.5000
Th2 0.0000 0.5000 0.5000
S1 0.0000 0.0000 0.2490
S2 0.0022 0.5011 0.7503
```

=====

Density functional theory data (PBE-GGA) for a geometry-optimized CePr2Th3S6 structure.

Computed properties:
E_form (uncorrected): -186.3 kJ per mole of atoms
Magnetization: 0.84 μB/cell

Geometry as CIF:
```
data_CePr2Th3S6
_chemical_formula_sum 'Ce2 Pr4 Th6 S12'
_cell_length_a 17.717
_cell_length_b 4.062
_cell_length_c 8.106
_cell_angle_alpha 90.00
_cell_angle_beta 103.67
_cell_angle_gamma 90.00
_space_group_name_H-M_alt 'C 1 2/m 1'
_space_group_IT_number 12
_space_group_name_Hall '-C 2y'
loop_
_atom_site_label
_atom_site_fract_x
_atom_site_fract_y
_atom_site_fract_z
Ce1 0.000 0.000 0.000
Pr1 0.165 0.500 0.332
Th1 0.000 0.000 0.500
Th2 0.167 0.500 0.835
S1 0.001 0.500 0.752
S2 0.166 0.000 0.082
S3 0.166 0.000 0.586
```

=====

Density functional theory data (PBE-GGA) for a geometry-optimized Ce3PrTh2S6 structure.

Computed properties:
E_form (uncorrected): -190.6 kJ per mole of atoms
Magnetization: 3.24 μB/cell

Geometry as CIF:
```
data_Ce3PrTh2S6
_chemical_formula_sum 'Ce6 Pr2 Th4 S12'
_cell_length_a 7.010
_cell_length_b 12.125
_cell_length_c 6.984
_cell_angle_alpha 90.00
_cell_angle_beta 109.48
_cell_angle_gamma 90.00
_space_group_name_H-M_alt 'C 1 2/m 1'
_space_group_IT_number 12
_space_group_name_Hall '-C 2y'
loop_
_atom_site_label
_atom_site_fract_x
_atom_site_fract_y
_atom_site_fract_z
Ce1 0.000 0.000 0.000
Ce2 0.000 0.335 0.000
Pr1 0.000 0.500 0.500
Th1 0.000 0.167 0.500
S1 0.248 0.000 0.752
S2 0.248 0.168 0.246
```

=====

Density functional theory data (PBE-GGA) for a geometry-optimized Ce3Pr4ThS8 structure.

Computed properties:
E_form (uncorrected): -193.8 kJ per mole of atoms
Magnetization: 6.29 μB/cell

Geometry as CIF:
```
data_Ce3Pr4ThS8
_chemical_formula_sum 'Ce9 Pr12 Th3 S24'
_cell_length_a 8.1275
_cell_length_b 8.1275
_cell_length_c 19.9609
_cell_angle_alpha 90.00
_cell_angle_beta 90.00
_cell_angle_gamma 120.00
_space_group_name_H-M_alt 'R -3 m'
_space_group_IT_number 166
_space_group_name_Hall '-R 3 2"'
loop_
_atom_site_label
_atom_site_fract_x
_atom_site_fract_y
_atom_site_fract_z
Ce1 0.0000 0.5000 0.0000
Pr1 0.0000 0.0000 0.5000
Pr2 0.0000 0.5000 0.5000
Th1 0.0000 0.0000 0.0000
S1 0.0000 0.0000 0.2521
S2 0.0004 0.5002 0.2519
```